Density functional theory data (PBE) for a relaxed CeHo6In3 crystal.

Summary:
SG: Cmc2_1, No. 36
Energy of formation, eV per formula unit: -1.1

abc: 9.1537 9.1537 7.7203
angles: 90.00 90.00 110.47
Closest atoms and distances in Å follow each position.
Fractional positions:
Ce1 0.2233 0.7767 0.5000  5 Ho 3.23-3.59, 2 In 3.39
Ce2 0.7767 0.2233 0.0000  5 Ho 3.23-3.59, 2 In 3.39
Ho1 0.0538 0.9462 0.7843  4 In 3.32-3.42, 1 Ce 3.36, 6 Ho 3.42-3.69
Ho2 0.0743 0.4528 0.2906  3 In 3.06-3.21, 1 Ce 3.23, 2 Ho 3.36-3.42
Ho3 0.2342 0.3029 0.9764  4 In 3.10-3.29, 2 Ho 3.36-3.44
Ho4 0.2983 0.7017 0.9604  3 In 3.24-3.30, 6 Ho 3.46-3.55
Ho5 0.3029 0.2342 0.4764  4 In 3.10-3.29, 2 Ho 3.36-3.44
Ho6 0.4528 0.0743 0.7906  3 In 3.06-3.21, 1 Ce 3.23, 2 Ho 3.36-3.42
Ho7 0.5472 0.9257 0.2906  3 In 3.06-3.21, 1 Ce 3.23, 2 Ho 3.36-3.42
Ho8 0.6971 0.7658 0.9764  4 In 3.10-3.29, 2 Ho 3.36-3.44
Ho9 0.7017 0.2983 0.4604  3 In 3.24-3.30, 6 Ho 3.46-3.55
Ho10 0.7658 0.6971 0.4764  4 In 3.10-3.29, 2 Ho 3.36-3.44
Ho11 0.9257 0.5472 0.7906  3 In 3.06-3.21, 1 Ce 3.23, 2 Ho 3.36-3.42
Ho12 0.9462 0.0538 0.2843  4 In 3.32-3.42, 1 Ce 3.36, 6 Ho 3.42-3.69
In1 0.0159 0.2765 0.6524  1 In 3.05, 6 Ho 3.06-3.32, 1 Ce 3.39
In2 0.2765 0.0159 0.1524  1 In 3.05, 6 Ho 3.06-3.32, 1 Ce 3.39
In3 0.4468 0.5532 0.2640  7 Ho 3.20-3.29
In4 0.5532 0.4468 0.7640  7 Ho 3.20-3.29
In5 0.7235 0.9841 0.6524  1 In 3.05, 6 Ho 3.06-3.32, 1 Ce 3.39
In6 0.9841 0.7235 0.1524  1 In 3.05, 6 Ho 3.06-3.32, 1 Ce 3.39

***

Density functional theory data (PBE) for a relaxed Cs2HgIF crystal.

Summary:
SG: P4/mmm, No. 123
Energy relative to the elements, uncorrected, eV/atom: -1.568

abc: 5.9749 5.9749 5.8263
angles: 90.00 90.00 90.00
Closest atoms and distances in Å follow each position.
Fractional positions:
Cs1 0.0000 0.5000 0.0000  2 F 2.99
Cs2 0.5000 0.0000 0.0000  2 F 2.99
Hg1 0.0000 0.0000 0.5000  2 F 2.91
I1 0.5000 0.5000 0.5000  8 Cs 4.17, 4 Hg 4.22
F1 0.0000 0.0000 0.0000  2 Hg 2.91, 4 Cs 2.99

***

Density functional theory data (PBE) for a relaxed ScTl2FeSi crystal.

Summary:
SG: P4/mmm, No. 123
Energy relative to the elements, uncorrected, eV/atom: 0.339

abc: 5.0671 5.0671 4.3481
angles: 90.00 90.00 90.00
Closest atoms and distances in Å follow each position.
Fractional positions:
Sc1 0.0000 0.0000 0.0000  8 Tl 3.34, 4 Si 3.58
Tl1 0.0000 0.5000 0.5000  2 Fe 2.53
Tl2 0.5000 0.0000 0.5000  2 Fe 2.53
Fe1 0.5000 0.5000 0.5000  2 Si 2.17
Si1 0.5000 0.5000 0.0000  2 Fe 2.17

***

Density functional theory data (PBE) for a relaxed TlPW2 crystal.

Summary:
SG: C2/m, No. 12
Energy of formation, eV per formula unit: 2.2

abc: 6.0811 3.4384 7.7877
angles: 90.00 112.83 90.00
Closest atoms and distances in Å follow each position.
Fractional positions:
Tl1 0.0000 0.0000 0.0000  4 W 2.98
Tl2 0.5000 0.5000 0.0000  4 W 2.98
P1 0.0000 0.5000 0.5000  6 W 2.33-2.35
P2 0.5000 0.0000 0.5000  6 W 2.33-2.35
W1 0.2490 0.5000 0.3320  3 P 2.33-2.35
W2 0.2510 0.0000 0.6680  3 P 2.33-2.35
W3 0.7490 0.0000 0.3320  3 P 2.33-2.35
W4 0.7510 0.5000 0.6680  3 P 2.33-2.35

***

Density functional theory data (PBE) for a relaxed Sm4BSe2Cl crystal.

Summary:
SG: P2/m, No. 10
Energy relative to the elements, uncorrected, eV/atom: -1.356

abc: 7.0934 4.0349 7.1401
angles: 90.00 108.65 90.00
Closest atoms and distances in Å follow each position.
Fractional positions:
Sm1 0.2202 0.0000 0.2180  2 B 2.72, 1 Se 2.89, 1 Cl 2.92
Sm2 0.2344 0.5000 0.7758  1 B 2.65, 2 Se 2.87, 2 Cl 2.94
Sm3 0.7656 0.5000 0.2242  1 B 2.65, 2 Se 2.87, 2 Cl 2.94
Sm4 0.7798 0.0000 0.7820  2 B 2.72, 1 Se 2.89, 1 Cl 2.92
B1 0.0000 0.5000 0.0000  6 Sm 2.65-2.72
Se1 0.5000 0.0000 0.0000  6 Sm 2.87-2.89
Se2 0.5000 0.5000 0.5000  6 Sm 3.08-3.13
Cl1 0.0000 0.0000 0.5000  6 Sm 2.92-2.94

***

Density functional theory data (PBE) for a relaxed La6CdRu3 crystal.

Summary:
SG: P2_1/m, No. 11
Energy of formation, eV per formula unit: -2.6

abc: 12.2082 4.1935 12.4396
angles: 90.00 108.17 90.00
Closest atoms and distances in Å follow each position.
Fractional positions:
La1 0.0229 0.2500 0.3883  3 Ru 2.76-2.94
La2 0.1120 0.2500 0.9535  4 Ru 2.91-3.11
La3 0.1977 0.7500 0.2601  3 Ru 2.83-3.10
La4 0.2774 0.7500 0.7732  2 Ru 2.74
La5 0.3399 0.2500 0.5373  2 Ru 2.77
La6 0.4300 0.7500 0.0893  3 Ru 2.85-2.92
La7 0.5700 0.2500 0.9107  3 Ru 2.85-2.92
La8 0.6601 0.7500 0.4627  2 Ru 2.77
La9 0.7226 0.2500 0.2268  2 Ru 2.74
La10 0.8023 0.2500 0.7399  3 Ru 2.83-3.10
La11 0.8880 0.7500 0.0465  4 Ru 2.91-3.11
La12 0.9771 0.7500 0.6117  3 Ru 2.76-2.94
Cd1 0.4459 0.2500 0.3093  7 La 3.40-3.58
Cd2 0.5541 0.7500 0.6907  7 La 3.40-3.58
Ru1 0.0400 0.2500 0.1721  5 La 2.76-2.91
Ru2 0.1854 0.7500 0.5056  4 La 2.77-2.94
Ru3 0.3400 0.2500 0.9216  6 La 2.74-2.93
Ru4 0.6600 0.7500 0.0784  6 La 2.74-2.93
Ru5 0.8146 0.2500 0.4944  4 La 2.77-2.94
Ru6 0.9600 0.7500 0.8279  5 La 2.76-2.91